(1)
Density functional theory data (GGA-PBE) for a relaxed K2Cd2F crystal.

Properties
Total magnetic moment   0.000 μB/cell
Crystal system   tetragonal
Uncorrected formation energy   -0.923 eV/atom
E above lowest polymorph   0.0 meV/atom
E_tot   -2.1019 eV per atom

a = 3.968 Å, b = 3.968 Å, c = 19.317 Å
α = 90.00°, β = 90.00°, γ = 90.00°
Space group I4/mmm (No. 139)
Symmetry-distinct sites (fractional):
K (0.000, 0.000, 0.084)
Cd (0.000, 0.500, 0.250)
F (0.000, 0.000, 0.500)



(2)
Density functional theory data (GGA-PBE) for a relaxed Tl4AgCl5 crystal.

Properties
Total magnetic moment   0.000 μB/cell
Crystal system   tetragonal
Uncorrected formation energy   -0.884 eV/atom
E_tot   -3.0386 eV per atom

a = 9.913 Å, b = 9.913 Å, c = 6.425 Å
α = 90.00°, β = 90.00°, γ = 90.00°
Space group I4 (No. 79)
Symmetry-distinct sites (fractional):
Tl (0.094, 0.699, 0.000)
Ag (0.000, 0.000, 0.543)
Cl (0.000, 0.000, 0.975)
Cl (0.099, 0.739, 0.496)



(3)
Density functional theory data (GGA-PBE) for a relaxed KHoZn2F8 crystal.

Properties
Total magnetic moment   0.009 μB/cell
Crystal system   trigonal
Uncorrected formation energy   -2.910 eV/atom
E_tot   -4.8426 eV per atom

a = 5.2644 Å, b = 5.2644 Å, c = 24.9840 Å
α = 90.00°, β = 90.00°, γ = 120.00°
Space group R32 (No. 155, hexagonal axes)
Symmetry-distinct sites (fractional):
K (0.0000, 0.0000, 0.0000)
Ho (0.0000, 0.0000, 0.5000)
Zn (0.0000, 0.0000, 0.2561)
F (0.0000, 0.0000, 0.3304)
F (0.0072, 0.3254, 0.4447)



(4)
Density functional theory data (GGA-PBE) for a relaxed RbSiPt3 crystal.

Properties
Total magnetic moment   0.000 μB/cell
Crystal system   cubic
Uncorrected formation energy   0.039 eV/atom
E above lowest polymorph   345.6 meV/atom
E_tot   -4.8640 eV per atom

a = 4.727 Å, b = 4.727 Å, c = 4.727 Å
α = 90.00°, β = 90.00°, γ = 90.00°
Space group Pm-3m (No. 221)
Symmetry-distinct sites (fractional):
Rb (0.000, 0.000, 0.000)
Si (0.500, 0.500, 0.500)
Pt (0.000, 0.500, 0.500)



(5)
Density functional theory data (GGA-PBE) for a relaxed Gd2HfO5 crystal.

Properties
Total magnetic moment   55.953 μB/cell
Crystal system   monoclinic
Uncorrected formation energy   -3.480 eV/atom
E above lowest polymorph   21.1 meV/atom
E_tot   -11.3436 eV per atom

a = 12.048 Å, b = 5.540 Å, c = 7.724 Å
α = 90.00°, β = 113.59°, γ = 90.00°
Space group C2/c (No. 15)
Symmetry-distinct sites (fractional):
Gd (0.142, 0.010, 0.259)
Hf (0.000, 0.500, 0.000)
O (0.000, 0.330, 0.250)
O (0.075, 0.178, 0.961)
O (0.171, 0.344, 0.643)



(6)
Density functional theory data (GGA-PBE) for a relaxed La3Pr2Y3 crystal.

Properties
Total magnetic moment   0.000 μB/cell
Crystal system   monoclinic
Energy relative to the elements   1.0 kJ/mol of atoms
E above lowest polymorph   0.0 meV/atom
E_tot   -5.4562 eV per atom

a = 24.664 Å, b = 3.708 Å, c = 6.363 Å
α = 90.00°, β = 104.77°, γ = 90.00°
Space group C2/m (No. 12)
Symmetry-distinct sites (fractional):
La (0.000, 0.000, 0.000)
La (0.125, 0.000, 0.459)
Pr (0.248, 0.000, 0.246)
Y (0.000, 0.500, 0.500)
Y (0.125, 0.500, 0.957)